Entry 1:
An optimized crystal structure of SmSbPd, computed with PBEsol.

a = 4.5806 Å, b = 4.5806 Å, c = 7.4148 Å
α = 90.00°, β = 90.00°, γ = 120.00°
Last column: nearest neighbours and their distance in Å.
Fractional coordinates of all 6 atoms:
Sb (0.6667, 0.3333, 0.7130)  4 Pd 2.74-2.98
Sb (0.3333, 0.6667, 0.2130)  4 Pd 2.74-2.98
Sm (0.0000, 0.0000, 0.4853)  3 Pd 2.94, 3 Sb 3.14
Sm (0.0000, 0.0000, 0.9853)  3 Pd 2.94, 3 Sb 3.14
Pd (0.6667, 0.3333, 0.3107)  4 Sb 2.74-2.98, 3 Sm 2.94
Pd (0.3333, 0.6667, 0.8107)  4 Sb 2.74-2.98, 3 Sm 2.94

E_tot ... -6.315 eV/atom

Entry 2:
An optimized crystal structure of SnSb3Pd, computed with PBEsol.

a = 5.4706 Å, b = 5.4706 Å, c = 5.4706 Å
α = 90.00°, β = 90.00°, γ = 90.00°
Last column: nearest neighbours and their distance in Å.
Fractional coordinates of all 5 atoms:
Sn (0.0000, 0.0000, 0.0000)  6 Sb 2.74
Sb (0.0000, 0.0000, 0.5000)  2 Sn 2.74
Sb (0.5000, 0.0000, 0.0000)  2 Sn 2.74
Sb (0.0000, 0.5000, 0.0000)  2 Sn 2.74
Pd (0.5000, 0.5000, 0.5000)  12 Sb 3.87

E_tot ... -3.596 eV/atom

Entry 3:
An optimized crystal structure of Sr2SbPd2, computed with PBEsol.

a = 3.8084 Å, b = 3.8084 Å, c = 9.4085 Å
α = 101.68°, β = 101.68°, γ = 90.00°
Last column: nearest neighbours and their distance in Å.
Fractional coordinates of all 5 atoms:
Sb (0.0000, 0.0000, 0.0000)  8 Sr 3.42, 4 Sb 3.81
Pd (0.7500, 0.2500, 0.5000)  4 Pd 2.69
Pd (0.2500, 0.7500, 0.5000)  4 Pd 2.69
Sr (0.6174, 0.6174, 0.2347)  4 Pd 3.06
Sr (0.3826, 0.3826, 0.7653)  4 Pd 3.06

E_tot ... -4.571 eV/atom

Entry 4:
An optimized crystal structure of SrSbTe2Pd, computed with PBEsol.

a = 5.8781 Å, b = 5.8781 Å, c = 5.8777 Å
α = 90.00°, β = 90.00°, γ = 90.00°
Last column: nearest neighbours and their distance in Å.
Fractional coordinates of all 5 atoms:
Pd (0.5000, 0.5000, 0.5000)  8 Te 4.16, 4 Sb 4.16
Te (0.0000, 0.5000, 0.0000)  2 Sr 2.94
Te (0.5000, 0.0000, 0.0000)  2 Sr 2.94
Sb (0.0000, 0.0000, 0.5000)  2 Sr 2.94
Sr (0.0000, 0.0000, 0.0000)  2 Sb 2.94, 4 Te 2.94

E_tot ... -2.926 eV/atom

Entry 5:
An optimized crystal structure of TaSbPd3, computed with PBEsol.

a = 4.7910 Å, b = 4.7910 Å, c = 4.7910 Å
α = 90.00°, β = 90.00°, γ = 90.00°
Last column: nearest neighbours and their distance in Å.
Fractional coordinates of all 5 atoms:
Pd (0.0000, 0.0000, 0.5000)  2 Ta 2.40
Pd (0.5000, 0.0000, 0.0000)  2 Ta 2.40
Pd (0.0000, 0.5000, 0.0000)  2 Ta 2.40
Sb (0.5000, 0.5000, 0.5000)  12 Pd 3.39
Ta (0.0000, 0.0000, 0.0000)  6 Pd 2.40

E_tot ... -6.150 eV/atom

Entry 6:
An optimized crystal structure of Ta3SbPd, computed with PBEsol.

a = 4.7991 Å, b = 4.7991 Å, c = 4.7991 Å
α = 90.00°, β = 90.00°, γ = 90.00°
Last column: nearest neighbours and their distance in Å.
Fractional coordinates of all 5 atoms:
Sb (0.5000, 0.5000, 0.5000)  12 Ta 3.39
Ta (0.0000, 0.5000, 0.0000)  2 Pd 2.40
Ta (0.5000, 0.0000, 0.0000)  2 Pd 2.40
Ta (0.0000, 0.0000, 0.5000)  2 Pd 2.40
Pd (0.0000, 0.0000, 0.0000)  6 Ta 2.40

Excess energy over the best structure of this formula in the dataset ... 0.00 eV/f.u.
E_tot ... -8.394 eV/atom

Entry 7:
An optimized crystal structure of TaTcSbPd2, computed with PBEsol.

a = 4.6633 Å, b = 4.6633 Å, c = 4.8494 Å
α = 90.00°, β = 90.00°, γ = 90.00°
Last column: nearest neighbours and their distance in Å.
Fractional coordinates of all 5 atoms:
Ta (0.5000, 0.5000, 0.5000)  4 Tc 3.30, 8 Pd 3.36
Tc (0.0000, 0.0000, 0.5000)  2 Sb 2.42
Sb (0.0000, 0.0000, 0.0000)  4 Pd 2.33, 2 Tc 2.42
Pd (0.5000, 0.0000, 0.0000)  2 Sb 2.33
Pd (0.0000, 0.5000, 0.0000)  2 Sb 2.33

E_tot ... -6.641 eV/atom

Entry 8:
An optimized crystal structure of Tb3Sb4Pd8, computed with PBEsol.

a = 9.2411 Å, b = 9.2411 Å, c = 9.2411 Å
α = 60.00°, β = 60.00°, γ = 60.00°
Last column: nearest neighbours and their distance in Å.
Fractional coordinates of all 30 atoms:
Tb (0.7253, 0.2747, 0.7253)  5 Sb 2.94-3.28, 8 Pd 3.00-3.19
Tb (0.7253, 0.7253, 0.2747)  5 Sb 2.94-3.28, 8 Pd 3.00-3.19
Tb (0.2747, 0.7253, 0.2747)  5 Sb 2.94-3.28, 8 Pd 3.00-3.19
Tb (0.7253, 0.2747, 0.2747)  5 Sb 2.94-3.28, 8 Pd 3.00-3.19
Tb (0.2747, 0.7253, 0.7253)  5 Sb 2.94-3.28, 8 Pd 3.00-3.19
Tb (0.2747, 0.2747, 0.7253)  5 Sb 2.94-3.28, 8 Pd 3.00-3.19
Sb (0.5000, 0.0000, 0.5000)  8 Pd 2.67-2.88
Sb (0.0000, 0.0000, 0.5000)  8 Pd 2.67-2.88
Sb (0.5000, 0.5000, 0.0000)  8 Pd 2.67-2.88
Sb (0.0000, 0.5000, 0.0000)  8 Pd 2.67-2.88
Sb (0.5000, 0.0000, 0.0000)  8 Pd 2.67-2.88
Sb (0.0000, 0.5000, 0.5000)  8 Pd 2.67-2.88
Sb (0.5000, 0.5000, 0.5000)  6 Tb 2.94
Sb (0.0000, 0.0000, 0.0000)  8 Pd 2.69
Pd (0.8811, 0.8811, 0.3568)  4 Sb 2.69-2.88, 3 Pd 2.93, 3 Tb 3.00
Pd (0.8811, 0.3568, 0.8811)  4 Sb 2.69-2.88, 3 Pd 2.93, 3 Tb 3.00
Pd (0.1189, 0.1189, 0.6432)  4 Sb 2.69-2.88, 3 Pd 2.93, 3 Tb 3.00
Pd (0.3321, 0.3321, 0.0038)  3 Sb 2.67, 3 Pd 2.93
Pd (0.3321, 0.0038, 0.3321)  3 Sb 2.67, 3 Pd 2.93
Pd (0.6432, 0.1189, 0.1189)  4 Sb 2.69-2.88, 3 Pd 2.93, 3 Tb 3.00
Pd (0.6679, 0.6679, 0.9962)  3 Sb 2.67, 3 Pd 2.93
Pd (0.1189, 0.1189, 0.1189)  4 Sb 2.69-2.88, 3 Pd 2.93, 3 Tb 3.00
Pd (0.6679, 0.6679, 0.6679)  3 Sb 2.67, 3 Pd 2.93
Pd (0.1189, 0.6432, 0.1189)  4 Sb 2.69-2.88, 3 Pd 2.93, 3 Tb 3.00
Pd (0.9962, 0.6679, 0.6679)  3 Sb 2.67, 3 Pd 2.93
Pd (0.8811, 0.8811, 0.8811)  4 Sb 2.69-2.88, 3 Pd 2.93, 3 Tb 3.00
Pd (0.3568, 0.8811, 0.8811)  4 Sb 2.69-2.88, 3 Pd 2.93, 3 Tb 3.00
Pd (0.3321, 0.3321, 0.3321)  3 Sb 2.67, 3 Pd 2.93
Pd (0.0038, 0.3321, 0.3321)  3 Sb 2.67, 3 Pd 2.93
Pd (0.6679, 0.9962, 0.6679)  3 Sb 2.67, 3 Pd 2.93

E_tot ... -6.260 eV/atom